P | VASP calculation (GGA-PBE) on a geometry-optimized Pr2Nd7Sm3 structure.

a b c (Å): 3.660 6.003 19.380
angles (deg): 93.26 90.00 90.00
Positions (direct):
Nd (0.000, 0.321, 0.857)
Nd (0.500, 0.258, 0.536)
Nd (0.000, 0.679, 0.143)
Nd (0.000, 0.000, 0.000)
Nd (0.500, 0.742, 0.464)
Nd (0.500, 0.819, 0.823)
Nd (0.500, 0.181, 0.177)
Sm (0.000, 0.784, 0.632)
Sm (0.500, 0.500, 0.000)
Sm (0.000, 0.216, 0.368)
Pr (0.500, 0.295, 0.704)
Pr (0.500, 0.705, 0.296)

## Properties
The value obtained for the mass density is 6.81 g cm⁻³. As for the magnetization: 0.000 μB per formula unit. The calculation puts the density of states at the Fermi level at 17.0 states/eV per cell.

---

Q | VASP calculation (GGA-PBE) on a geometry-optimized Pr2Nd7Sm3 structure.

a b c (Å): 3.613 6.544 18.487
angles (deg): 75.44 90.00 90.00
Positions (direct):
Nd (0.000, 0.559, 0.165)
Nd (0.500, 0.942, 0.832)
Nd (0.500, 0.759, 0.498)
Nd (0.000, 0.441, 0.835)
Nd (0.500, 0.058, 0.168)
Nd (0.500, 0.241, 0.502)
Nd (0.000, 0.000, 0.000)
Sm (0.500, 0.500, 0.000)
Sm (0.000, 0.113, 0.340)
Sm (0.000, 0.887, 0.660)
Pr (0.500, 0.613, 0.330)
Pr (0.500, 0.387, 0.670)

## Properties
The value obtained for the mass density is 6.84 g cm⁻³. As for the magnetization: 0.000 μB per formula unit. The calculation puts the density of states at the Fermi level at 18.9 states/eV per cell.

---

Most stable: Q (next structure +0.017 eV/atom)

---

P | VASP calculation (GGA-PBE) on a geometry-optimized Pr2Nd3Sm8 structure.

a b c (Å): 6.246 11.870 8.920
angles (deg): 131.71 72.69 90.00
Positions (direct):
Sm (0.323, 0.917, 0.346)
Sm (0.779, 0.444, 0.888)
Sm (0.323, 0.429, 0.346)
Sm (0.221, 0.556, 0.112)
Sm (0.677, 0.083, 0.654)
Sm (0.050, 0.844, 0.688)
Sm (0.677, 0.571, 0.654)
Sm (0.950, 0.156, 0.312)
Nd (0.000, 0.241, 0.000)
Nd (0.500, 0.000, 0.000)
Nd (0.000, 0.759, 0.000)
Pr (0.349, 0.290, 0.580)
Pr (0.651, 0.710, 0.420)

## Properties
The value obtained for the mass density is 7.03 g cm⁻³. As for the magnetization: 0.000 μB per formula unit. The calculation puts the density of states at the Fermi level at 20.4 states/eV per cell.

---

Q | VASP calculation (GGA-PBE) on a geometry-optimized Pr2Nd3Sm8 structure.

a b c (Å): 6.920 9.228 8.819
angles (deg): 121.55 97.85 90.00
Positions (direct):
Pr (0.718, 0.798, 0.596)
Pr (0.282, 0.202, 0.404)
Sm (0.873, 0.585, 0.169)
Sm (0.127, 0.415, 0.831)
Sm (0.206, 0.791, 0.583)
Sm (0.794, 0.209, 0.417)
Sm (0.432, 0.793, 0.228)
Sm (0.568, 0.207, 0.772)
Sm (0.568, 0.565, 0.772)
Sm (0.432, 0.435, 0.228)
Nd (0.000, 0.830, 0.000)
Nd (0.500, 0.000, 0.000)
Nd (0.000, 0.170, 0.000)

## Properties
The value obtained for the mass density is 6.72 g cm⁻³. As for the magnetization: 0.000 μB per formula unit. The calculation puts the density of states at the Fermi level at 20.5 states/eV per cell.

---

Most stable: P (next structure +0.094 eV/atom)

---

P | VASP calculation (GGA-PBE) on a geometry-optimized Pr7Nd12Sm structure.

a b c (Å): 10.146 10.146 10.146
angles (deg): 109.47 109.47 109.47
Positions (direct):
Nd (0.752, 0.248, 0.999)
Nd (0.248, 0.248, 0.496)
Nd (0.248, 0.496, 0.248)
Nd (0.248, 0.999, 0.752)
Nd (0.496, 0.248, 0.248)
Nd (0.001, 0.248, 0.752)
Nd (0.504, 0.752, 0.752)
Nd (0.999, 0.752, 0.248)
Nd (0.248, 0.752, 0.001)
Nd (0.752, 0.504, 0.752)
Nd (0.752, 0.752, 0.504)
Nd (0.752, 0.001, 0.248)
Pr (0.500, 0.500, 0.000)
Pr (0.000, 0.000, 0.500)
Pr (0.500, 0.000, 0.000)
Pr (0.500, 0.000, 0.500)
Pr (0.000, 0.500, 0.000)
Pr (0.000, 0.500, 0.500)
Pr (0.500, 0.500, 0.500)
Sm (0.000, 0.000, 0.000)

## Properties
The value obtained for the mass density is 5.92 g cm⁻³. As for the magnetization: 0.001 μB per formula unit. The calculation puts the density of states at the Fermi level at 30.5 states/eV per cell.

---

Q | VASP calculation (GGA-PBE) on a geometry-optimized Pr7Nd12Sm structure.

a b c (Å): 8.978 8.978 8.978
angles (deg): 87.61 87.61 87.61
Positions (direct):
Pr (0.850, 0.606, 0.924)
Pr (0.150, 0.394, 0.076)
Pr (0.500, 0.500, 0.500)
Pr (0.924, 0.850, 0.606)
Pr (0.606, 0.924, 0.850)
Pr (0.394, 0.076, 0.150)
Pr (0.076, 0.150, 0.394)
Nd (0.492, 0.616, 0.136)
Nd (0.136, 0.492, 0.616)
Nd (0.855, 0.255, 0.723)
Nd (0.723, 0.855, 0.255)
Nd (0.864, 0.508, 0.384)
Nd (0.616, 0.136, 0.492)
Nd (0.384, 0.864, 0.508)
Nd (0.255, 0.723, 0.855)
Nd (0.745, 0.277, 0.145)
Nd (0.508, 0.384, 0.864)
Nd (0.145, 0.745, 0.277)
Nd (0.277, 0.145, 0.745)
Sm (0.000, 0.000, 0.000)

## Properties
The value obtained for the mass density is 6.60 g cm⁻³. As for the magnetization: 0.000 μB per formula unit. The calculation puts the density of states at the Fermi level at 39.6 states/eV per cell.

---

Most stable: Q (next structure +0.375 eV/atom)